PmZnAgRh after structural relaxation, computed with PBE.

Output
Energy relative to the elements (eV/atom): -0.2987
Crystal system: cubic

CIF file:
```
data_PmZnAgRh
_symmetry_space_group_name_H-M 'F -4 3 m'
_symmetry_Int_Tables_number 216
_symmetry_space_group_name_Hall 'F -4 2 3'
_cell_length_a 6.7810
_cell_length_b 6.7810
_cell_length_c 6.7810
_cell_angle_alpha 90.00
_cell_angle_beta 90.00
_cell_angle_gamma 90.00
loop_
_atom_site_label
_atom_site_fract_x
_atom_site_fract_y
_atom_site_fract_z
Pm1 0.0000 0.0000 0.0000
Zn1 0.0000 0.0000 0.5000
Ag1 0.2500 0.2500 0.7500
Rh1 0.2500 0.2500 0.2500
```